! PBE-GGA Ba2MgTeIr, relaxed; values from VASP
&SYSTEM
  ibrav = 0, nat = 5, ntyp = 4
/
ATOMIC_SPECIES
Ba 137.33 Ba.upf
Ir 192.22 Ir.upf
Te 127.60 Te.upf
Mg 24.30 Mg.upf
ATOMIC_POSITIONS crystal
Ba 0.500 0.000 0.000
Ir 0.000 0.000 0.000
Te 0.500 0.500 0.500
Ba 0.000 0.500 0.000
Mg 0.000 0.000 0.500
CELL_PARAMETERS angstrom
-0.285 -5.387 2.654
3.827 1.885 4.237
-3.875 1.582 2.796
! crystal system	tetragonal
! ΔE_f (raw)	-0.615	eV per atom